# NiRhPbO4

A geometry-optimized NiRhPbO4 structure (PBE+U, Alexandria via LeMat-Bulk).

```
data_NiRhPbO4
_space_group_name_H-M_alt 'I m m a'
_space_group_IT_number 74
_space_group_name_Hall '-I 2b 2'
_cell_length_a 6.2985
_cell_length_b 6.4725
_cell_length_c 9.0725
_cell_angle_alpha 90.00
_cell_angle_beta 90.00
_cell_angle_gamma 90.00
loop_
_atom_site_label
_atom_site_fract_x
_atom_site_fract_y
_atom_site_fract_z
Ni1 0.0000 0.0000 0.0000
Rh1 0.2500 0.2500 0.2500
Pb1 0.0000 0.2500 0.6223
O1 0.0000 0.0474 0.2329
O2 0.2139 0.2500 0.0243
```

Values from the calculation:
The value obtained for the spin magnetization is 0.260 μB per atom. Its total DFT energy (no corrections) is -5.6984 eV/atom.